No. 1
A plane-wave DFT calculation with GGA-PBE was carried out for crystalline Li3AlGa at its relaxed geometry.

The structure in CIF format:
```
data_Li3AlGa
_chemical_formula_sum 'Li3 Al1 Ga1'
_space_group_name_H-M_alt 'P m -3 m'
_space_group_IT_number 221
_space_group_name_Hall '-P 4 2 3'
_cell_length_a 4.740
_cell_length_b 4.740
_cell_length_c 4.740
_cell_angle_alpha 90.00
_cell_angle_beta 90.00
_cell_angle_gamma 90.00
loop_
_atom_site_label
_atom_site_type_symbol
_atom_site_fract_x
_atom_site_fract_y
_atom_site_fract_z
_atom_site_occupancy
Li1 Li 0.000 0.000 0.500 1
Al1 Al 0.500 0.500 0.500 1
Ga1 Ga 0.000 0.000 0.000 1
```

## Properties
**Theoretical density**: 1833 kg/m³
**Energy above the lowest structure with this stoichiometry**: 52.8 kJ per mole of atoms
**Formation energy**: 0.292 eV/atom

***

No. 2
A plane-wave DFT calculation with GGA-PBE was carried out for crystalline Ca3Cd2Pd6 at its relaxed geometry.

The structure in CIF format:
```
data_Ca3Cd2Pd6
_chemical_formula_sum 'Ca12 Cd8 Pd24'
_space_group_name_H-M_alt 'I m -3 m'
_space_group_IT_number 229
_space_group_name_Hall '-I 4 2 3'
_cell_length_a 9.797
_cell_length_b 9.797
_cell_length_c 9.797
_cell_angle_alpha 90.00
_cell_angle_beta 90.00
_cell_angle_gamma 90.00
loop_
_atom_site_label
_atom_site_type_symbol
_atom_site_fract_x
_atom_site_fract_y
_atom_site_fract_z
_atom_site_occupancy
Ca1 Ca 0.000 0.000 0.304 1
Cd1 Cd 0.250 0.250 0.250 1
Pd1 Pd 0.000 0.339 0.339 1
```

## Properties
**Theoretical density**: 6948 kg/m³
**Formation energy**: -0.585 eV/atom

***

No. 3
A plane-wave DFT calculation with GGA-PBE was carried out for crystalline InGa3Sn at its relaxed geometry.

The structure in CIF format:
```
data_InGa3Sn
_chemical_formula_sum 'In1 Ga3 Sn1'
_space_group_name_H-M_alt 'P m -3 m'
_space_group_IT_number 221
_space_group_name_Hall '-P 4 2 3'
_cell_length_a 5.381
_cell_length_b 5.381
_cell_length_c 5.381
_cell_angle_alpha 90.00
_cell_angle_beta 90.00
_cell_angle_gamma 90.00
loop_
_atom_site_label
_atom_site_type_symbol
_atom_site_fract_x
_atom_site_fract_y
_atom_site_fract_z
_atom_site_occupancy
In1 In 0.000 0.000 0.000 1
Ga1 Ga 0.000 0.500 0.500 1
Sn1 Sn 0.500 0.500 0.500 1
```

## Properties
**Theoretical density**: 4718 kg/m³
**Energy above the lowest structure with this stoichiometry**: 41.7 kJ per mole of atoms
**Formation energy**: 0.481 eV/atom

***

No. 4
A plane-wave DFT calculation with GGA-PBE was carried out for crystalline CuSi2 at its relaxed geometry.

The structure in CIF format:
```
data_CuSi2
_chemical_formula_sum 'Cu4 Si8'
_space_group_name_H-M_alt 'I 4/m c m'
_space_group_IT_number 140
_space_group_name_Hall '-I 4 2c'
_cell_length_a 5.847
_cell_length_b 5.847
_cell_length_c 4.939
_cell_angle_alpha 90.00
_cell_angle_beta 90.00
_cell_angle_gamma 90.00
loop_
_atom_site_label
_atom_site_type_symbol
_atom_site_fract_x
_atom_site_fract_y
_atom_site_fract_z
_atom_site_occupancy
Cu1 Cu 0.000 0.000 0.250 1
Si1 Si 0.148 0.352 0.000 1
```

## Properties
**Uncorrected formation energy**: 0.271 eV per atom
**Theoretical density**: 4709 kg/m³

***

No. 5
A plane-wave DFT calculation with GGA-PBE was carried out for crystalline TiGa3Cu2 at its relaxed geometry.

The structure in CIF format:
```
data_TiGa3Cu2
_chemical_formula_sum 'Ti2 Ga6 Cu4'
_space_group_name_H-M_alt 'C m m m'
_space_group_IT_number 65
_space_group_name_Hall '-C 2 2'
_cell_length_a 3.855
_cell_length_b 11.849
_cell_length_c 3.810
_cell_angle_alpha 90.00
_cell_angle_beta 90.00
_cell_angle_gamma 90.00
loop_
_atom_site_label
_atom_site_type_symbol
_atom_site_fract_x
_atom_site_fract_y
_atom_site_fract_z
_atom_site_occupancy
Ti1 Ti 0.000 0.000 0.000 1
Ga1 Ga 0.000 0.167 0.500 1
Ga2 Ga 0.000 0.500 0.500 1
Cu1 Cu 0.000 0.322 0.000 1
```

## Properties
**Theoretical density**: 7332 kg/m³
**Formation energy**: -0.236 eV/atom

***

No. 6
A plane-wave DFT calculation with GGA-PBE was carried out for crystalline La2Ho3Tm8 at its relaxed geometry.

The structure in CIF format:
```
data_La2Ho3Tm8
_chemical_formula_sum 'La2 Ho3 Tm8'
_space_group_name_H-M_alt 'P 1 2/m 1'
_space_group_IT_number 10
_space_group_name_Hall '-P 2y'
_cell_length_a 7.567
_cell_length_b 5.432
_cell_length_c 11.189
_cell_angle_alpha 90.00
_cell_angle_beta 109.71
_cell_angle_gamma 90.00
loop_
_atom_site_label
_atom_site_type_symbol
_atom_site_fract_x
_atom_site_fract_y
_atom_site_fract_z
_atom_site_occupancy
La1 La 0.239 0.000 0.479 1
Ho1 Ho 0.000 0.000 0.000 1
Ho2 Ho 0.289 0.500 0.000 1
Tm1 Tm 0.123 0.500 0.247 1
Tm2 Tm 0.181 0.000 0.789 1
Tm3 Tm 0.344 0.500 0.686 1
Tm4 Tm 0.392 0.000 0.212 1
```

## Properties
**Theoretical density**: 8146 kg/m³
**Formation energy**: 0.251 eV/atom

***

No. 7
A plane-wave DFT calculation with GGA-PBE was carried out for crystalline LiAcMnRh at its relaxed geometry.

The structure in CIF format:
```
data_LiAcMnRh
_chemical_formula_sum 'Li4 Ac4 Mn4 Rh4'
_space_group_name_H-M_alt 'F -4 3 m'
_space_group_IT_number 216
_space_group_name_Hall 'F -4 2 3'
_cell_length_a 6.949
_cell_length_b 6.949
_cell_length_c 6.949
_cell_angle_alpha 90.00
_cell_angle_beta 90.00
_cell_angle_gamma 90.00
loop_
_atom_site_label
_atom_site_type_symbol
_atom_site_fract_x
_atom_site_fract_y
_atom_site_fract_z
_atom_site_occupancy
Li1 Li 0.000 0.000 0.000 1
Ac1 Ac 0.250 0.250 0.250 1
Mn1 Mn 0.250 0.250 0.750 1
Rh1 Rh 0.000 0.000 0.500 1
```

## Properties
**Theoretical density**: 7756 kg/m³
**Formation energy**: -0.002 eV/atom

***

No. 8
A plane-wave DFT calculation with GGA-PBE was carried out for crystalline Ca2MgFeC at its relaxed geometry.

The structure in CIF format:
```
data_Ca2MgFeC
_chemical_formula_sum 'Ca2 Mg1 Fe1 C1'
_space_group_name_H-M_alt 'P 4/m m m'
_space_group_IT_number 123
_space_group_name_Hall '-P 4 2'
_cell_length_a 5.792
_cell_length_b 5.792
_cell_length_c 3.858
_cell_angle_alpha 90.00
_cell_angle_beta 90.00
_cell_angle_gamma 90.00
loop_
_atom_site_label
_atom_site_type_symbol
_atom_site_fract_x
_atom_site_fract_y
_atom_site_fract_z
_atom_site_occupancy
Ca1 Ca 0.000 0.500 0.000 1
Mg1 Mg 0.000 0.000 0.000 1
Fe1 Fe 0.500 0.500 0.500 1
C1 C 0.000 0.000 0.500 1
```

## Properties
**Theoretical density**: 2211 kg/m³
**Energy above the lowest structure with this stoichiometry**: 109.2 kJ per mole of atoms
**Formation energy**: 1.253 eV/atom

***

No. 9
A plane-wave DFT calculation with GGA-PBE was carried out for crystalline BaRePb2 at its relaxed geometry.

The structure in CIF format:
```
data_BaRePb2
_chemical_formula_sum 'Ba2 Re2 Pb4'
_space_group_name_H-M_alt 'C 1 m 1'
_space_group_IT_number 8
_space_group_name_Hall 'C -2y'
_cell_length_a 8.238
_cell_length_b 4.747
_cell_length_c 6.954
_cell_angle_alpha 90.00
_cell_angle_beta 113.23
_cell_angle_gamma 90.00
loop_
_atom_site_label
_atom_site_type_symbol
_atom_site_fract_x
_atom_site_fract_y
_atom_site_fract_z
_atom_site_occupancy
Ba1 Ba 0.000 0.000 0.000 1
Re1 Re 0.317 0.500 0.455 1
Pb1 Pb 0.207 0.000 0.624 1
Pb2 Pb 0.445 0.000 0.338 1
```

## Properties
**Theoretical density**: 9807 kg/m³
**Energy above the lowest structure with this stoichiometry**: 5.3 kJ per mole of atoms
**Formation energy**: 0.472 eV/atom

***

No. 10
A plane-wave DFT calculation with GGA-PBE was carried out for crystalline MgNbRhAu at its relaxed geometry.

The structure in CIF format:
```
data_MgNbRhAu
_chemical_formula_sum 'Mg4 Nb4 Rh4 Au4'
_space_group_name_H-M_alt 'F -4 3 m'
_space_group_IT_number 216
_space_group_name_Hall 'F -4 2 3'
_cell_length_a 6.476
_cell_length_b 6.476
_cell_length_c 6.476
_cell_angle_alpha 90.00
_cell_angle_beta 90.00
_cell_angle_gamma 90.00
loop_
_atom_site_label
_atom_site_type_symbol
_atom_site_fract_x
_atom_site_fract_y
_atom_site_fract_z
_atom_site_occupancy
Mg1 Mg 0.000 0.000 0.000 1
Nb1 Nb 0.000 0.000 0.500 1
Rh1 Rh 0.250 0.250 0.750 1
Au1 Au 0.250 0.250 0.250 1
```

## Properties
**Theoretical density**: 10198 kg/m³
**Formation energy**: -0.278 eV/atom

***

No. 11
A plane-wave DFT calculation with GGA-PBE was carried out for crystalline SrBiF at its relaxed geometry.

The structure in CIF format:
```
data_SrBiF
_chemical_formula_sum 'Sr1 Bi1 F1'
_space_group_name_H-M_alt 'P 3 m 1'
_space_group_IT_number 156
_space_group_name_Hall 'P 3 -2"'
_cell_length_a 4.0078
_cell_length_b 4.0078
_cell_length_c 6.1557
_cell_angle_alpha 90.00
_cell_angle_beta 90.00
_cell_angle_gamma 120.00
loop_
_atom_site_label
_atom_site_type_symbol
_atom_site_fract_x
_atom_site_fract_y
_atom_site_fract_z
_atom_site_occupancy
Sr1 Sr 0.0000 0.0000 0.0000 1
Bi1 Bi 0.6667 0.3333 0.4992 1
F1 F 0.3333 0.6667 0.9979 1
```

## Properties
**Uncorrected formation energy**: -2.001 eV per atom
**Theoretical density**: 6120 kg/m³
**Energy above the lowest structure with this stoichiometry**: 0.0 kJ per mole of atoms

***

No. 12
A plane-wave DFT calculation with GGA-PBE was carried out for crystalline Li2TlPb8 at its relaxed geometry.

The structure in CIF format:
```
data_Li2TlPb8
_chemical_formula_sum 'Li4 Tl2 Pb16'
_space_group_name_H-M_alt 'C 1 2/m 1'
_space_group_IT_number 12
_space_group_name_Hall '-C 2y'
_cell_length_a 17.078
_cell_length_b 4.968
_cell_length_c 7.924
_cell_angle_alpha 90.00
_cell_angle_beta 109.48
_cell_angle_gamma 90.00
loop_
_atom_site_label
_atom_site_type_symbol
_atom_site_fract_x
_atom_site_fract_y
_atom_site_fract_z
_atom_site_occupancy
Li1 Li 0.226 0.000 0.152 1
Tl1 Tl 0.000 0.500 0.500 1
Pb1 Pb 0.043 0.000 0.227 1
Pb2 Pb 0.108 0.500 0.974 1
Pb3 Pb 0.148 0.000 0.721 1
Pb4 Pb 0.183 0.500 0.422 1
```

## Properties
**Theoretical density**: 9829 kg/m³
**Formation energy**: -0.066 eV/atom